Record 1
Here is a relaxed NaHoIn crystal from the Alexandria database. Energies are from PBE.

Structure (extended XYZ):
```
6
Lattice="5.002 0.000 0.000 0.000 5.002 0.000 0.000 0.000 7.556" Properties=species:S:1:pos:R:3 pbc="T T T"
Na 0.000 2.501 2.125
Na 2.501 0.000 5.431
In 0.000 0.000 0.000
In 2.501 2.501 0.000
Ho 0.000 2.501 5.670
Ho 2.501 0.000 1.886
```

Values from the calculation:
formation energy from the elements	0.133	eV per atom
energy above the most stable polymorph in this dataset	212	meV per atom


Record 2
Here is a relaxed NaHoIn2 crystal from the Alexandria database. Energies are from PBE.

Structure (extended XYZ):
```
4
Lattice="-3.343 -1.990 -3.564 -2.371 -4.626 0.902 -5.172 -0.157 1.033" Properties=species:S:1:pos:R:3 pbc="T T T"
In -2.721 -1.693 -0.407
In -8.164 -5.080 -1.222
Na -5.443 -3.387 -0.815
Ho 0.000 0.000 0.000
```

Values from the calculation:
formation energy from the elements	-0.264	eV per atom
energy above the most stable polymorph in this dataset	33	meV per atom


Record 3
Here is a relaxed NaHoIn crystal from the Alexandria database. Energies are from PBE.

Structure (extended XYZ):
```
3
Lattice="-0.131 -0.819 3.302 -0.214 -3.295 -0.826 7.664 1.528 -1.071" Properties=species:S:1:pos:R:3 pbc="T T T"
Ho 6.286 -2.513 1.382
Na 1.770 -2.195 1.281
In 4.333 -0.306 0.097
```

Values from the calculation:
formation energy from the elements	-0.045	eV per atom
energy above the most stable polymorph in this dataset	35	meV per atom


Record 4
Here is a relaxed NaHoIn2 crystal from the Alexandria database. Energies are from PBE.

Structure (extended XYZ):
```
4
Lattice="-2.888 -0.496 1.879 -1.675 -3.047 -0.154 4.373 -4.832 8.673" Properties=species:S:1:pos:R:3 pbc="T T T"
Ho 0.000 0.000 0.000
Na -0.095 -4.187 5.199
In -0.115 -6.298 7.837
In -0.076 -2.076 2.561
```

Values from the calculation:
formation energy from the elements	-0.130	eV per atom
energy above the most stable polymorph in this dataset	167	meV per atom